*i*
Here is a geometry-optimized Be5Tl structure from Alexandria via LeMat-Bulk. Energies are from PBE.

Structure (extended XYZ):
```
6
Lattice="-1.641 7.253 -2.105 -1.359 -7.197 2.468 0.385 0.965 3.027" Properties=species:S:1:pos:R:3 pbc="T T T"
Be -1.399 5.225 0.203
Be -1.561 3.188 -0.818
Be -1.452 -2.437 0.962
Be -1.621 6.269 -1.793
Be -1.287 -0.542 2.028
Tl -1.195 -5.268 3.524
```

Output
- N(E_F) (states/eV/f.u.) = 0.8

***

*ii*
Here is a geometry-optimized Be5Tl structure from Alexandria via LeMat-Bulk. Energies are from PBE.

Structure (extended XYZ):
```
6
Lattice="2.345 -4.062 0.000 2.345 4.062 0.000 0.000 0.000 3.648" Properties=species:S:1:pos:R:3 pbc="T T T"
Tl 0.000 0.000 0.000
Be 1.173 -2.031 1.824
Be 2.345 -1.354 0.000
Be 2.345 1.354 0.000
Be 2.345 0.000 1.824
Be 1.173 2.031 1.824
```

Output
- N(E_F) (states/eV/f.u.) = 2.9

***

The relative energies come out as *i* 0; *ii* 34, with values in meV/atom.

***

*i*
Here is a geometry-optimized Be4Tl3 structure from Alexandria via LeMat-Bulk. Energies are from PBE.

Structure (extended XYZ):
```
7
Lattice="-10.955 8.852 4.697 -13.323 6.012 2.604 11.963 -8.590 -1.878" Properties=species:S:1:pos:R:3 pbc="T T T"
Be -21.655 13.257 6.512
Be -14.288 8.747 4.297
Be -9.991 6.117 3.005
Be -2.623 1.606 0.789
Tl 0.000 0.000 0.000
Tl -7.507 4.596 2.258
Tl -16.772 10.268 5.044
```

Output
- N(E_F) (states/eV/f.u.) = 1.7

***

*ii*
Here is a geometry-optimized Be4Tl3 structure from Alexandria via LeMat-Bulk. Energies are from PBE.

Structure (extended XYZ):
```
7
Lattice="3.147 -5.451 0.000 3.147 5.451 0.000 0.000 0.000 4.118" Properties=species:S:1:pos:R:3 pbc="T T T"
Be 3.147 1.817 2.059
Be 0.000 0.000 1.036
Be 3.147 -1.817 2.059
Be 0.000 0.000 3.083
Tl 1.574 -2.726 0.000
Tl 3.147 0.000 0.000
Tl 1.574 2.726 0.000
```

Output
- N(E_F) (states/eV/f.u.) = 3.7

***

The relative energies come out as *i* 0; *ii* 393, with values in meV/atom.

***

*i*
Here is a geometry-optimized BeTl3V structure from Alexandria via LeMat-Bulk. Energies are from PBE.

Structure (extended XYZ):
```
5
Lattice="-3.937 2.752 -1.309 -2.925 -2.811 2.886 0.856 3.051 3.839" Properties=species:S:1:pos:R:3 pbc="T T T"
Be 0.000 0.000 0.000
Tl 0.428 1.526 1.920
Tl -1.462 -1.405 1.443
Tl -1.968 1.376 -0.655
V -3.002 1.496 2.708
```

Output
- N(E_F) (states/eV/f.u.) = 9.1

***

*ii*
Here is a geometry-optimized BeTl3V structure from Alexandria via LeMat-Bulk. Energies are from PBE.

Structure (extended XYZ):
```
5
Lattice="-2.013 -2.947 -4.068 4.639 0.592 -2.724 1.928 -4.500 2.306" Properties=species:S:1:pos:R:3 pbc="T T T"
Tl -1.007 -1.473 -2.034
Tl 2.319 0.296 -1.362
Tl 0.964 -2.250 1.153
Be 2.277 -3.428 -2.243
V 0.000 0.000 0.000
```

Output
- N(E_F) (states/eV/f.u.) = 2.7

***

The relative energies come out as *i* 0; *ii* 187, with values in meV/atom.

***

*i*
Here is a geometry-optimized BeTlV3 structure from Alexandria via LeMat-Bulk. Energies are from PBE.

Structure (extended XYZ):
```
5
Lattice="5.091 0.000 0.000 0.000 5.091 0.000 0.000 0.000 5.091" Properties=species:S:1:pos:R:3 pbc="T T T"
V 0.000 2.545 0.000
V 2.545 0.000 0.000
V 0.000 0.000 2.545
Be 2.545 2.545 2.545
Tl 0.000 0.000 0.000
```

Output
- N(E_F) (states/eV/f.u.) = 12.5

***

*ii*
Here is a geometry-optimized BeTlV3 structure from Alexandria via LeMat-Bulk. Energies are from PBE.

Structure (extended XYZ):
```
5
Lattice="4.211 0.000 0.000 0.000 4.211 0.000 0.000 0.000 4.211" Properties=species:S:1:pos:R:3 pbc="T T T"
Be 0.000 0.000 0.000
V 0.000 0.000 2.106
V 0.000 2.106 0.000
V 2.106 0.000 0.000
Tl 2.106 2.106 2.106
```

Output
- N(E_F) (states/eV/f.u.) = 3.2

***

The relative energies come out as *i* 1625; *ii* 0, with values in meV/atom.